The following is a DFT calculation (PBE) of a relaxed structure of OsRu2Cl.

Computed properties:
- Space group: P4mm
- Relative energy among the computed polymorphs: 27.0 kJ/mol of atoms
- Energy relative to the elements, uncorrected: 15.73 kcal/mol of atoms

abc: 2.7967 2.7967 7.4976
angles: 90.00 90.00 90.00
With the nearest neighbours (Å) after each atom.
Sites, in units of the cell vectors:
Cl  0.0000  0.0000  0.4900  4 Ru 2.69, 4 Cl 2.80, 4 Os 2.85
Os  0.5000  0.5000  0.7629  4 Ru 2.66, 4 Os 2.80, 4 Cl 2.85
Ru  0.0000  0.0000  0.9995  4 Os 2.66, 8 Ru 2.72-2.80
Ru  0.5000  0.5000  0.2477  4 Cl 2.69, 8 Ru 2.72-2.80

The following is a DFT calculation (PBE) of a relaxed structure of CePr3Dy2Y6.

Computed properties:
- Space group: C2/m
- ΔE_f: 0.034 eV/atom

abc: 6.2524 6.2524 11.8788
angles: 95.02 95.02 119.99
With the nearest neighbours (Å) after each atom.
Sites, in units of the cell vectors:
Ce  0.0000  0.0000  0.0000  6 Y 3.54, 6 Dy 3.61
Pr  0.1676  0.8324  0.5000  6 Pr 3.60-3.63, 6 Y 3.63
Pr  0.8324  0.1676  0.5000  6 Pr 3.60-3.63, 6 Y 3.63
Pr  0.5000  0.5000  0.5000  6 Pr 3.60-3.62, 6 Y 3.63-3.64
Dy  0.3333  0.6667  0.0000  6 Y 3.55-3.56, 3 Ce 3.61, 3 Dy 3.61
Dy  0.6667  0.3333  0.0000  6 Y 3.55-3.56, 3 Ce 3.61, 3 Dy 3.61
Y  0.9180  0.5868  0.7542  1 Ce 3.54, 2 Dy 3.55, 6 Y 3.59-3.62, 3 Pr 3.63
Y  0.7506  0.7506  0.2460  1 Ce 3.54, 2 Dy 3.56, 6 Y 3.59-3.62, 3 Pr 3.63-3.64
Y  0.0820  0.4132  0.2458  1 Ce 3.54, 2 Dy 3.55, 6 Y 3.59-3.62, 3 Pr 3.63
Y  0.5868  0.9180  0.7542  1 Ce 3.54, 2 Dy 3.55, 6 Y 3.59-3.62, 3 Pr 3.63
Y  0.2494  0.2494  0.7540  1 Ce 3.54, 2 Dy 3.56, 6 Y 3.59-3.62, 3 Pr 3.63-3.64
Y  0.4132  0.0820  0.2458  1 Ce 3.54, 2 Dy 3.55, 6 Y 3.59-3.62, 3 Pr 3.63

The following is a DFT calculation (PBE) of a relaxed structure of LiMo3Pb.

Computed properties:
- Space group: Pm-3m
- Relative energy among the computed polymorphs: 0.0 kJ/mol of atoms
- ΔE_f: 1.296 eV/atom

abc: 4.3602 4.3602 4.3602
angles: 90.00 90.00 90.00
With the nearest neighbours (Å) after each atom.
Sites, in units of the cell vectors:
Pb  0.5000  0.5000  0.5000  12 Mo 3.08
Mo  0.0000  0.5000  0.0000  2 Li 2.18
Mo  0.0000  0.0000  0.5000  2 Li 2.18
Mo  0.5000  0.0000  0.0000  2 Li 2.18
Li  0.0000  0.0000  0.0000  6 Mo 2.18

The following is a DFT calculation (PBE) of a relaxed structure of Fe3CoCl.

Computed properties:
- Space group: Pm-3m
- Relative energy among the computed polymorphs: 0.0 kJ/mol of atoms
- Energy relative to the elements, uncorrected: 20.76 kcal/mol of atoms

abc: 4.0853 4.0853 4.0853
angles: 90.00 90.00 90.00
With the nearest neighbours (Å) after each atom.
Sites, in units of the cell vectors:
Co  0.5000  0.5000  0.5000  12 Fe 2.89
Fe  0.0000  0.5000  0.0000  2 Cl 2.04
Fe  0.0000  0.0000  0.5000  2 Cl 2.04
Fe  0.5000  0.0000  0.0000  2 Cl 2.04
Cl  0.0000  0.0000  0.0000  6 Fe 2.04

The following is a DFT calculation (PBE) of a relaxed structure of Sr2Li2CaTl2.

Computed properties:
- Space group: R-3m
- ΔE_f: -0.228 eV/atom

abc: 5.0116 5.0116 11.2379
angles: 77.12 77.12 60.00
With the nearest neighbours (Å) after each atom.
Sites, in units of the cell vectors:
Sr  0.1154  0.1154  0.6537  3 Tl 3.51, 3 Li 3.67, 1 Ca 3.76
Sr  0.8846  0.8846  0.3463  3 Tl 3.51, 3 Li 3.67, 1 Ca 3.76
Li  0.6206  0.6206  0.1382  3 Tl 2.91
Li  0.3794  0.3794  0.8618  3 Tl 2.91
Ca  0.0000  0.0000  0.0000  6 Li 3.26, 6 Tl 3.39
Tl  0.7211  0.7211  0.8366  3 Li 2.91
Tl  0.2789  0.2789  0.1634  3 Li 2.91

The following is a DFT calculation (PBE) of a relaxed structure of PmPN2Cl.

Computed properties:
- Space group: P2_1/m
- Energy relative to the elements, uncorrected: -22.12 kcal/mol of atoms

abc: 3.5993 5.7644 8.7758
angles: 104.26 90.00 90.00
With the nearest neighbours (Å) after each atom.
Sites, in units of the cell vectors:
Pm  0.7500  0.8877  0.2281  4 N 2.45-2.46
Pm  0.2500  0.1123  0.7719  4 N 2.45-2.46
P  0.7500  0.5523  0.6070  2 N 1.55-1.56
P  0.2500  0.4477  0.3930  2 N 1.55-1.56
N  0.2500  0.6602  0.3133  1 P 1.55
N  0.2500  0.1694  0.3379  1 P 1.56
N  0.7500  0.8306  0.6621  1 P 1.56
N  0.7500  0.3398  0.6867  1 P 1.55
Cl  0.7500  0.2513  0.0301  3 Pm 2.85-3.03, 1 N 3.18
Cl  0.2500  0.7487  0.9699  3 Pm 2.85-3.03, 1 N 3.18

The following is a DFT calculation (PBE) of a relaxed structure of TbGePt.

Computed properties:
- Space group: P-6m2
- ΔE_f: -1.103 eV/atom

abc: 3.5300 4.4379 4.4379
angles: 120.00 90.00 90.00
With the nearest neighbours (Å) after each atom.
Sites, in units of the cell vectors:
Ge  0.1667  0.3333  0.6667  3 Pt 2.56
Tb  0.6667  0.6667  0.3333  6 Pt 3.11, 6 Ge 3.11
Pt  0.1666  0.0000  0.0000  3 Ge 2.56

The following is a DFT calculation (PBE) of a relaxed structure of Ce2TmTl9.

Computed properties:
- Space group: P4/mmm
- ΔE_f: -0.220 eV/atom

abc: 4.8065 4.8065 14.3839
angles: 90.00 90.00 90.00
With the nearest neighbours (Å) after each atom.
Sites, in units of the cell vectors:
Ce  0.0000  0.0000  0.3304  12 Tl 3.40-3.42
Ce  0.0000  0.0000  0.6696  12 Tl 3.40-3.42
Tm  0.0000  0.0000  0.0000  12 Tl 3.35-3.40
Tl  0.5000  0.5000  0.0000  8 Tl 3.35, 4 Tm 3.40
Tl  0.5000  0.5000  0.3330  8 Tl 3.40-3.43, 4 Ce 3.40
Tl  0.5000  0.5000  0.6670  8 Tl 3.40-3.43, 4 Ce 3.40
Tl  0.5000  0.0000  0.1626  2 Tm 3.35, 8 Tl 3.35-3.43, 2 Ce 3.41
Tl  0.5000  0.0000  0.5000  8 Tl 3.40, 4 Ce 3.42
Tl  0.5000  0.0000  0.8374  2 Tm 3.35, 8 Tl 3.35-3.43, 2 Ce 3.41
Tl  0.0000  0.5000  0.1626  8 Tl 3.35-3.43, 2 Tm 3.35, 2 Ce 3.41
Tl  0.0000  0.5000  0.5000  8 Tl 3.40, 4 Ce 3.42
Tl  0.0000  0.5000  0.8374  8 Tl 3.35-3.43, 2 Tm 3.35, 2 Ce 3.41

Number 1: DOS(E_F) 4.447 states/eV/f.u.. Number 2: DOS(E_F) 18.898 states/eV/f.u.. Number 3: DOS(E_F) 9.060 states/eV/f.u.. Number 4: DOS(E_F) 4.670 states/eV/f.u.. Number 5: DOS(E_F) 7.662 states/eV/f.u.. Number 6: DOS(E_F) 1.115 states/eV/f.u.. Number 7: DOS(E_F) 0.415 states/eV/f.u.. Number 8: DOS(E_F) 15.171 states/eV/f.u..